(1)
Here is a geometry-optimized CeTcF structure from Alexandria. Energies are from GGA-PBE.

abc: 17.5393 3.2883 7.9036
angles: 90.00 90.95 90.00
Space group C2/m (No. 12)
Inequivalent atoms, fractional coordinates:
Ce 0.1073 0.0000 0.1278 [4 per cell]
Ce 0.1093 0.0000 0.6015 [4 per cell]
Tc 0.2462 0.5000 0.6281 [4 per cell]
Tc 0.2490 0.0000 0.8774 [4 per cell]
F 0.0399 0.0000 0.8570 [4 per cell]
F 0.0606 0.5000 0.3684 [4 per cell]

Summary:
DFT total energy = -0.5507 Ry/atom
Total magnetic moment = 1.07 μB/f.u.
E_form (uncorrected) = -1.436 eV per atom


(2)
Here is a geometry-optimized YCrIr3 structure from Alexandria. Energies are from GGA-PBE.

abc: 4.9484 4.9484 4.9484
angles: 90.00 90.00 90.00
Space group Pm-3m (No. 221)
Inequivalent atoms, fractional coordinates:
Y 0.0000 0.0000 0.0000 [1 per cell]
Cr 0.5000 0.5000 0.5000 [1 per cell]
Ir 0.0000 0.0000 0.5000 [3 per cell]

Summary:
DFT total energy = -0.4754 Ry/atom
Total magnetic moment = 2.54 μB/f.u.
Calculated formation energy = 2.066 eV per atom


(3)
Here is a geometry-optimized PrNd3Er2 structure from Alexandria. Energies are from GGA-PBE.

abc: 10.2613 7.2495 12.0299
angles: 90.00 115.23 90.00
Space group C2/c (No. 15)
Inequivalent atoms, fractional coordinates:
Pr 0.0000 0.1254 0.2500 [4 per cell]
Nd 0.0000 0.3747 0.7500 [4 per cell]
Nd 0.1670 0.1249 0.5839 [8 per cell]
Er 0.1657 0.3752 0.0816 [8 per cell]

Summary:
DFT total energy = -0.3445 Ry/atom
Total magnetic moment = 0.00 μB/f.u.
Calculated formation energy = 0.015 eV per atom


Among the records above, which one has the lowest total magnetic moment?
PrNd3Er2